# 1
CoHgIr2 after structural relaxation. Source: Alexandria, functional PBE.

Values from the calculation:
The calculated density is 17.6 g/cm³. The calculated volume is 15.16 Å³/atom. The calculation puts the density of states at the Fermi level at 5.21 states/eV/cell. As for the final energy: -5.94 eV per atom.

POSCAR file:
```
CoHgIr2
1.0
-1.5809 1.8697 1.3663
-0.8962 -2.0194 1.7265
5.8724 1.4762 4.7749
Ir Co Hg
2 1 1
Direct
0.0000 0.0000 0.0398 Ir
0.0000 0.0000 0.4602 Ir
0.5000 0.5000 0.2500 Co
0.5000 0.5000 0.7500 Hg
```

# 2
CoHg2Ir after structural relaxation. Source: Alexandria, functional PBE.

Values from the calculation:
The calculated density is 15.6 g/cm³. The calculated volume is 17.41 Å³/atom. The value obtained for the excess energy over the best structure of this formula in the dataset is 169 meV/atom. The calculation puts the density of states at the Fermi level at 4.45 states/eV/cell. As for the final energy: -3.65 eV per atom.

POSCAR file:
```
CoHg2Ir
1.0
5.7512 -0.0069 0.0000
3.0444 4.8794 0.0000
-3.7756 -3.5594 2.4803
Co Hg Ir
1 2 1
Direct
0.2717 0.7717 0.5000 Co
0.7349 0.2349 0.5000 Hg
0.0222 0.0222 0.0000 Hg
0.4713 0.4713 0.0000 Ir
```

- Which of these has the highest calculated density?
  CoHgIr2

- What is the formula in the second record?
  CoHg2Ir

Copy entry 2 word for word.
CoHg2Ir after structural relaxation. Source: Alexandria, functional PBE.

Values from the calculation:
The calculated density is 15.6 g/cm³. The calculated volume is 17.41 Å³/atom. The value obtained for the excess energy over the best structure of this formula in the dataset is 169 meV/atom. The calculation puts the density of states at the Fermi level at 4.45 states/eV/cell. As for the final energy: -3.65 eV per atom.

POSCAR file:
```
CoHg2Ir
1.0
5.7512 -0.0069 0.0000
3.0444 4.8794 0.0000
-3.7756 -3.5594 2.4803
Co Hg Ir
1 2 1
Direct
0.2717 0.7717 0.5000 Co
0.7349 0.2349 0.5000 Hg
0.0222 0.0222 0.0000 Hg
0.4713 0.4713 0.0000 Ir
```